(1)
In2Bi2Rh: optimized geometry, PBE.

Formation enthalpy at 0 K ... 0.099 eV per atom

a b c (Å): 7.134 7.134 5.490
angles (deg): 90.00 90.00 90.00
Space group P4/mbm (No. 127)
Inequivalent atoms, fractional coordinates:
In: 0.166 0.334 0.000
Bi: 0.155 0.655 0.500
Rh: 0.000 0.000 0.500

(2)
Li2CaPd2: optimized geometry, PBE.

Formation enthalpy at 0 K ... -0.433 eV per atom
ΔE to the lowest computed polymorph ... 0.017 eV/atom

a b c (Å): 3.949 3.949 12.076
angles (deg): 90.00 90.00 90.00
Space group I4/mmm (No. 139)
Inequivalent atoms, fractional coordinates:
Li: 0.000 0.500 0.250
Ca: 0.000 0.000 0.000
Pd: 0.000 0.000 0.389

(3)
Sm5Er4Hg: optimized geometry, PBE.

Formation enthalpy at 0 K ... -0.072 eV per atom

a b c (Å): 3.601 3.601 24.091
angles (deg): 90.00 90.00 90.00
Space group P4/mmm (No. 123)
Inequivalent atoms, fractional coordinates:
Sm: 0.000 0.000 0.000
Sm: 0.000 0.000 0.206
Sm: 0.000 0.000 0.414
Er: 0.500 0.500 0.103
Er: 0.500 0.500 0.310
Hg: 0.500 0.500 0.500

(4)
K2LiHgH: optimized geometry, PBE.

ΔE to the lowest computed polymorph ... 0.108 eV/atom

a b c (Å): 5.172 5.172 5.769
angles (deg): 90.00 90.00 90.00
Space group P4/mmm (No. 123)
Inequivalent atoms, fractional coordinates:
K: 0.000 0.500 0.000
Li: 0.000 0.000 0.500
Hg: 0.500 0.500 0.500
H: 0.500 0.500 0.000

(5)
CeMgCd4: optimized geometry, PBE.

Formation enthalpy at 0 K ... -0.083 eV per atom
ΔE to the lowest computed polymorph ... 0.032 eV/atom

a b c (Å): 8.350 8.350 8.350
angles (deg): 90.00 90.00 90.00
Space group F-43m (No. 216)
Inequivalent atoms, fractional coordinates:
Ce: 0.000 0.000 0.000
Mg: 0.250 0.250 0.750
Cd: 0.125 0.125 0.375

(6)
LaAlZn4Pd2: optimized geometry, PBE.

Formation enthalpy at 0 K ... -0.376 eV per atom

a b c (Å): 4.3522 4.3522 26.9106
angles (deg): 90.00 90.00 120.00
Space group R-3m (No. 166, hexagonal axes)
Inequivalent atoms, fractional coordinates:
La: 0.0000 0.0000 0.0000
Al: 0.0000 0.0000 0.5000
Zn: 0.0000 0.0000 0.1266
Zn: 0.0000 0.0000 0.4027
Pd: 0.0000 0.0000 0.2282

(7)
LaZrAlFe2: optimized geometry, PBE.

Formation enthalpy at 0 K ... 0.630 eV per atom

a b c (Å): 4.494 4.494 5.008
angles (deg): 90.00 90.00 90.00
Space group P4/mmm (No. 123)
Inequivalent atoms, fractional coordinates:
La: 0.000 0.000 0.000
Zr: 0.500 0.500 0.000
Al: 0.500 0.500 0.500
Fe: 0.000 0.500 0.500

(8)
BaMn2Pb: optimized geometry, PBE.

Formation enthalpy at 0 K ... 0.926 eV per atom

a b c (Å): 4.805 4.805 18.836
angles (deg): 90.00 90.00 90.00
Space group I4_1/amd (No. 141, origin choice 2)
Inequivalent atoms, fractional coordinates:
Ba: 0.000 0.250 0.375
Mn: 0.000 0.000 0.000
Pb: 0.000 0.250 0.875

(9)
KNpPd2S4: optimized geometry, PBE.

Formation energy from raw total energies ... -540 kJ/mol of formula units

a b c (Å): 6.629 6.629 8.176
angles (deg): 90.00 90.00 90.00
Space group I-42m (No. 121)
Inequivalent atoms, fractional coordinates:
K: 0.000 0.000 0.000
Np: 0.000 0.000 0.500
Pd: 0.000 0.500 0.250
S: 0.218 0.218 0.298

(10)
Nd4Er2In: optimized geometry, PBE.

Formation enthalpy at 0 K ... 0.389 eV per atom
ΔE to the lowest computed polymorph ... 0.479 eV/atom

a b c (Å): 6.199 12.501 6.117
angles (deg): 90.00 90.00 90.00
Space group Cmmm (No. 65)
Inequivalent atoms, fractional coordinates:
Nd: 0.000 0.134 0.000
Nd: 0.000 0.332 0.500
Er: 0.000 0.382 0.000
In: 0.000 0.000 0.500

(11)
Ba2OsBr: optimized geometry, PBE.

Formation energy from raw total energies ... 67 kJ/mol of formula units
ΔE to the lowest computed polymorph ... 0.407 eV/atom

a b c (Å): 4.579 4.579 12.247
angles (deg): 90.00 90.00 90.00
Space group I-4m2 (No. 119)
Inequivalent atoms, fractional coordinates:
Ba: 0.000 0.000 0.000
Ba: 0.000 0.500 0.250
Os: 0.000 0.000 0.500
Br: 0.000 0.500 0.750

(12)
Tb2AlZn2Ni5: optimized geometry, PBE.

Formation enthalpy at 0 K ... -0.321 eV per atom

a b c (Å): 9.370 9.370 3.481
angles (deg): 90.00 90.00 90.00
Space group P4/mbm (No. 127)
Inequivalent atoms, fractional coordinates:
Tb: 0.177 0.323 0.000
Al: 0.000 0.000 0.000
Zn: 0.121 0.621 0.000
Ni: 0.000 0.500 0.500
Ni: 0.057 0.800 0.500

Computed total moment, in the same sequence as the records: 0.000, 0.000, 0.000, 0.000, 0.861, 0.000, 5.120, 0.362, 3.266, 0.000, 1.087, 0.000 μB per formula unit.
Computed Fermi-level density of states, in the same sequence as the records: 5.933, 2.877, 13.769, 1.069, 37.600, 14.309, 7.644, 23.599, 17.191, 17.370, 8.255, 12.732 states/eV/cell.